1.
Here is a geometry-optimized Ac3Mg structure from Alexandria via LeMat-Bulk. Energies are from PBE-GGA.

Results
* SG: No. 225
* size of the total moment: 0.00 μB/cell
* N(E_F): 4.7 states/eV/cell
* DFT total energy: -13.60 eV/cell

abc: 6.108 6.108 6.108
angles: 60.00 60.00 60.00
Positions (direct):
Ac: 0.750 0.750 0.750
Ac: 0.250 0.250 0.250
Ac: 0.000 0.000 0.000
Mg: 0.500 0.500 0.500

=====

2.
Here is a geometry-optimized TiVGe2Pd structure from Alexandria via LeMat-Bulk. Energies are from PBE-GGA.

Results
* SG: No. 123
* size of the total moment: 0.00 μB/cell
* N(E_F): 6.3 states/eV/cell
* DFT total energy: -28.74 eV/cell

abc: 4.603 4.647 4.603
angles: 90.00 90.00 90.00
Positions (direct):
Ge: 0.500 0.000 0.000
Ge: 0.000 0.000 0.500
Pd: 0.000 0.500 0.000
V: 0.000 0.000 0.000
Ti: 0.500 0.500 0.500

=====

3.
Here is a geometry-optimized BaAl3F structure from Alexandria via LeMat-Bulk. Energies are from PBE-GGA.

Results
* formation energy without anion corrections: -1.7 eV per formula unit
* SG: No. 221
* size of the total moment: 0.00 μB/cell
* N(E_F): 4.6 states/eV/cell

abc: 4.923 4.923 4.923
angles: 90.00 90.00 90.00
Positions (direct):
Al: 0.000 0.000 0.500
Al: 0.500 0.000 0.000
Al: 0.000 0.500 0.000
F: 0.000 0.000 0.000
Ba: 0.500 0.500 0.500